(1)
DFT (GGA-PBE) results for Eu2DyAu after structural relaxation.

Summary:
space group = P4/mmm, No. 123
calculated density = 8.8 g/cm3
E_form = -31 kJ per mole of atoms
DFT total energy = -7.42 eV/atom
E above lowest polymorph = 0.00 eV per formula unit

a = 3.7513 Å, b = 3.7513 Å, c = 8.9433 Å
α = 90.00°, β = 90.00°, γ = 90.00°
Each line ends with the local moment (μB).
Atoms (fractional coordinates):
Dy 0.5000 0.5000 0.5000  0.43
Eu 0.0000 0.0000 0.2015  6.88
Au 0.5000 0.5000 0.0000  0.01
Eu 0.0000 0.0000 0.7985  6.88

(2)
DFT (GGA-PBE) results for Tm4Sc2Al after structural relaxation.

Summary:
space group = R-3m, No. 166
calculated density = 6.1 g/cm3
E_form = 42 kJ per mole of atoms
DFT total energy = -4.46 eV/atom

a = 4.5228 Å, b = 4.5228 Å, c = 12.4915 Å
α = 79.57°, β = 79.57°, γ = 60.00°
Atoms (fractional coordinates):
Sc 0.1905 0.1905 0.4285
Al 0.0000 0.0000 0.0000
Tm 0.9098 0.9098 0.2705
Tm 0.0902 0.0902 0.7295
Tm 0.2991 0.2991 0.1026
Sc 0.8095 0.8095 0.5715
Tm 0.7009 0.7009 0.8974

(3)
DFT (GGA-PBE) results for PuSc2Co after structural relaxation.

Summary:
space group = R-3m, No. 166
calculated density = 7.6 g/cm3
E_form = 6 kJ per mole of atoms
DFT total energy = -8.46 eV/atom
E above lowest polymorph = 0.74 eV per formula unit

a = 3.3351 Å, b = 3.3351 Å, c = 9.1641 Å
α = 79.52°, β = 79.52°, γ = 60.00°
Each line ends with the local moment (μB).
Atoms (fractional coordinates):
Pu 0.5000 0.5000 0.5000  5.57
Sc 0.7272 0.7272 0.8184  0.03
Sc 0.2728 0.2728 0.1816  0.03
Co 0.0000 0.0000 0.0000  0.12

(4)
DFT (GGA-PBE) results for NaW2CBr after structural relaxation.

Summary:
space group = P4/mmm, No. 123
calculated density = 6.6 g/cm3
DFT total energy = -3.68 eV/atom
ΔE_f (raw) = 3.95 eV/atom

a = 5.0577 Å, b = 4.7113 Å, c = 5.0577 Å
α = 90.00°, β = 90.00°, γ = 90.00°
Each line ends with the local moment (μB).
Atoms (fractional coordinates):
W 0.5000 0.0000 0.0000  2.62
C 0.5000 0.5000 0.5000  -0.69
Br 0.0000 0.5000 0.0000  -0.03
W 0.0000 0.0000 0.5000  2.48
Na 0.0000 0.0000 0.0000  0.07

What did the fourth record say?
DFT (GGA-PBE) results for NaW2CBr after structural relaxation.

Summary:
space group = P4/mmm, No. 123
calculated density = 6.6 g/cm3
DFT total energy = -3.68 eV/atom
ΔE_f (raw) = 3.95 eV/atom

a = 5.0577 Å, b = 4.7113 Å, c = 5.0577 Å
α = 90.00°, β = 90.00°, γ = 90.00°
Each line ends with the local moment (μB).
Atoms (fractional coordinates):
W 0.5000 0.0000 0.0000  2.62
C 0.5000 0.5000 0.5000  -0.69
Br 0.0000 0.5000 0.0000  -0.03
W 0.0000 0.0000 0.5000  2.48
Na 0.0000 0.0000 0.0000  0.07